(1)
Material: SiB3W
Method: DFT, GGA-PBE
State: optimized geometry

Cell: 3.832 3.832 3.832 Å, 90.00 90.00 90.00°
Space group Pm-3m (No. 221)
One atom of each set of equivalent atoms:
Si 0.000 0.000 0.000
B 0.000 0.000 0.500
W 0.500 0.500 0.500

Summary:
crystal system	cubic
M_tot	0.00	μB per atom
energy relative to the lowest polymorph listed for this composition	0.310	eV per atom


(2)
Material: SiB2W6
Method: DFT, GGA-PBE
State: optimized geometry

Cell: 7.373 7.662 8.499 Å, 90.00 90.00 90.00°
Space group Immm (No. 71)
One atom of each set of equivalent atoms:
Si 0.000 0.000 0.000
Si 0.000 0.000 0.500
B 0.000 0.365 0.000
B 0.000 0.500 0.385
W 0.000 0.206 0.244
W 0.199 0.500 0.177
W 0.211 0.309 0.500

Summary:
crystal system	orthorhombic
M_tot	0.00	μB per atom
total DFT energy (no corrections)	-0.7952	Ry/atom


(3)
Material: SiB3W
Method: DFT, GGA-PBE
State: optimized geometry

Cell: 4.196 4.196 4.196 Å, 90.00 90.00 90.00°
Space group Pm-3m (No. 221)
One atom of each set of equivalent atoms:
Si 0.000 0.000 0.000
B 0.000 0.500 0.500
W 0.500 0.500 0.500

Summary:
crystal system	cubic
M_tot	0.00	μB per atom
energy relative to the lowest polymorph listed for this composition	0.000	eV per atom


(4)
Material: SiB2W2
Method: DFT, GGA-PBE
State: optimized geometry

Cell: 5.795 5.795 3.190 Å, 90.00 90.00 90.00°
Space group P4/mbm (No. 127)
One atom of each set of equivalent atoms:
Si 0.000 0.000 0.000
B 0.110 0.390 0.000
W 0.181 0.681 0.500

Summary:
crystal system	tetragonal
M_tot	0.00	μB per atom
total DFT energy (no corrections)	-0.6681	Ry/atom